1.
DFT (GGA-PBE) results for a relaxed structure of CeZn2Hg.

Computed properties:
* energy of formation: -0.10 eV per atom
* DOS(E_F): 9.65 states/eV/f.u.
* total DFT energy (no corrections): -9.185 eV for the cell shown
* relative energy among the computed polymorphs: 0.59 eV/f.u.
* symmetry: P4/mmm, No. 123

Cell lengths 4.1986, 4.6385, 4.6385 Å; angles 90.00, 90.00, 90.00 degrees
Sites, in units of the cell vectors:
Zn  0.0000  0.5000  0.0000
Zn  0.0000  0.0000  0.5000
Hg  0.5000  0.0000  0.0000
Ce  0.5000  0.5000  0.5000


2.
DFT (GGA-PBE) results for a relaxed structure of CeZn2Hg.

Computed properties:
* energy of formation: -0.09 eV per atom
* DOS(E_F): 5.75 states/eV/f.u.
* total DFT energy (no corrections): -9.154 eV for the cell shown
* relative energy among the computed polymorphs: 0.63 eV/f.u.
* symmetry: P4/mmm, No. 123

Cell lengths 3.4074, 3.4074, 7.3111 Å; angles 90.00, 90.00, 90.00 degrees
Sites, in units of the cell vectors:
Zn  0.0000  0.0000  0.2233
Zn  0.0000  0.0000  0.7767
Hg  0.5000  0.5000  0.0000
Ce  0.5000  0.5000  0.5000